A plane-wave DFT calculation with PBE-GGA was carried out for a relaxed structure of MgCr2Tc.

Cell: 2.6375 2.6375 8.6504 Å, 90.00 90.00 110.04°
Fractional coordinates of all 4 atoms:
Mg (0.0000, 0.0000, 0.0000)
Cr (0.5000, 0.5000, 0.2676)
Cr (0.5000, 0.5000, 0.7324)
Tc (0.0000, 0.0000, 0.5000)

Calculated values
**Magnetization**: 0.0 μB per formula unit
**VASP energy**: -7.460 eV/atom
**ρ**: 6647 kg/m3
**Energy of formation**: 0.342 eV/atom